(1)
First-principles (meta-GGA SCAN) data for a PBEsol-optimized structure of La3BeCd, as listed in the Alexandria database.

Values from the calculation:
Formation energy from the elements   758.3 meV/atom
Electronic total energy   -32.0583 eV/atom
Space group   Pm-3m (221)

a b c (Å): 5.8203 5.8203 5.8203
angles (deg): 90.00 90.00 90.00
Closest atoms and distances in Å follow each position.
Fractional coordinates of all 5 atoms:
La1 0.0000 0.0000 0.5000  2 Cd 2.91
La2 0.0000 0.5000 0.0000  2 Cd 2.91
La3 0.5000 0.0000 0.0000  2 Cd 2.91
Be1 0.5000 0.5000 0.5000  12 La 4.12
Cd1 0.0000 0.0000 0.0000  6 La 2.91



(2)
First-principles (meta-GGA SCAN) data for a PBEsol-optimized structure of Te2HAu, as listed in the Alexandria database.

Values from the calculation:
Offset from the most stable computed form   379.2 meV per atom
Electronic total energy   -36.0877 eV/atom
Space group   Fm-3m (225)

a b c (Å): 4.7839 4.7839 4.7839
angles (deg): 60.00 60.00 60.00
Closest atoms and distances in Å follow each position.
Fractional coordinates of all 4 atoms:
Te1 0.2500 0.2500 0.2500  4 H 2.93, 4 Au 2.93
Te2 0.7500 0.7500 0.7500  4 H 2.93, 4 Au 2.93
H1 0.0000 0.0000 0.0000  8 Te 2.93
Au1 0.5000 0.5000 0.5000  8 Te 2.93



no.,DOS(E_F) (states/eV per atom)
1,1.20
2,0.97